The following is a DFT calculation (GGA-PBE) of a geometry-optimized Ba3Li4Pd2 structure.

Computed properties:
**E**: -2.845 eV/atom
**V**: 265.01 Å³/f.u.
**ρ**: 4.1 g/cm³
**Density of states at the Fermi level**: 6.78 states/eV/cell
**SG**: C2/m, No. 12

Unit cell a=4.7755 b=6.5152 c=9.7366 alpha=108.47 beta=90.00 gamma=111.50
Closest atoms and distances in Å follow each position.
Fractional coordinates of all 9 atoms:
Ba (0.6229, 0.2459, 0.6861)  6 Li 3.28-3.60, 3 Pd 3.37-3.60
Ba (0.0000, 0.0000, 0.0000)  6 Li 3.44-3.77, 4 Pd 3.76
Ba (0.3771, 0.7541, 0.3139)  6 Li 3.28-3.60, 3 Pd 3.37-3.60
Li (0.7170, 0.4340, 0.0794)  1 Pd 2.56
Li (0.2830, 0.5660, 0.9206)  1 Pd 2.56
Li (0.8466, 0.6932, 0.5686)  3 Pd 2.69-2.84
Li (0.1534, 0.3068, 0.4314)  3 Pd 2.69-2.84
Pd (0.6524, 0.3048, 0.3034)  4 Li 2.56-2.84
Pd (0.3476, 0.6952, 0.6966)  4 Li 2.56-2.84

---

The following is a DFT calculation (GGA-PBE) of a geometry-optimized CsFeSe2N structure.

Computed properties:
**Formation energy (no corrections)**: 10.699 eV/f.u.
**V**: 155.14 Å³/f.u.
**ρ**: 3.9 g/cm³
**Density of states at the Fermi level**: 8.90 states/eV/cell
**SG**: P4/mmm, No. 123

Unit cell a=5.9027 b=5.9027 c=4.4526 alpha=90.00 beta=90.00 gamma=90.00
Closest atoms and distances in Å follow each position.
Fractional coordinates of all 5 atoms:
Cs (0.0000, 0.0000, 0.0000)  2 N 2.23
Fe (0.5000, 0.5000, 0.5000)  8 Se 3.70
Se (0.0000, 0.5000, 0.0000)  2 Cs 2.95
Se (0.5000, 0.0000, 0.0000)  2 Cs 2.95
N (0.0000, 0.0000, 0.5000)  2 Cs 2.23

---

The following is a DFT calculation (GGA-PBE) of a geometry-optimized LiCa2Pd4 structure.

Computed properties:
**E**: -4.277 eV/atom
**V**: 133.30 Å³/f.u.
**ρ**: 6.4 g/cm³
**Density of states at the Fermi level**: 2.90 states/eV/cell
**SG**: Cm, No. 8

Unit cell a=5.5802 b=5.5800 c=5.8263 alpha=118.62 beta=118.63 gamma=90.13
Closest atoms and distances in Å follow each position.
Fractional coordinates of all 7 atoms:
Li (0.7852, 0.7852, 0.5709)  4 Pd 2.58, 4 Ca 2.79
Ca (0.7852, 0.2858, 0.5715)  2 Li 2.79, 8 Pd 2.95-2.97
Ca (0.2857, 0.7852, 0.5715)  2 Li 2.79, 8 Pd 2.95-2.97
Pd (0.7152, 0.3543, 0.0694)  1 Li 2.58, 1 Pd 2.85
Pd (0.3543, 0.7152, 0.0694)  1 Li 2.58, 1 Pd 2.85
Pd (0.2175, 0.2175, 0.0734)  1 Li 2.58, 1 Pd 2.85
Pd (0.8568, 0.8568, 0.0738)  1 Li 2.58, 1 Pd 2.85

---

The following is a DFT calculation (GGA-PBE) of a geometry-optimized Tb3Ga3Cu8 structure.

Computed properties:
**E**: -4.280 eV/atom
**V**: 233.45 Å³/f.u.
**ρ**: 8.5 g/cm³
**Density of states at the Fermi level**: 9.15 states/eV/cell
**SG**: Immm, No. 71

Unit cell a=4.1812 b=7.9664 c=7.9664 alpha=68.05 beta=74.79 gamma=74.79
Closest atoms and distances in Å follow each position.
Fractional coordinates of all 14 atoms:
Tb (0.5000, 0.5000, 0.5000)  12 Cu 3.01-3.24, 4 Ga 3.29
Tb (0.7989, 0.2011, 0.2011)  12 Cu 2.93-3.28, 4 Ga 3.17-3.27
Tb (0.2011, 0.7989, 0.7989)  12 Cu 2.93-3.28, 4 Ga 3.17-3.27
Ga (0.5000, 0.0000, 0.0000)  4 Cu 2.54, 4 Ga 2.84
Ga (0.0000, 0.7845, 0.2155)  6 Cu 2.47-2.66
Ga (0.0000, 0.2155, 0.7845)  6 Cu 2.47-2.66
Cu (0.6307, 0.0866, 0.6519)  3 Cu 2.49-2.59, 3 Ga 2.54-2.66
Cu (0.3693, 0.9134, 0.3481)  3 Cu 2.49-2.59, 3 Ga 2.54-2.66
Cu (0.6307, 0.6519, 0.0866)  3 Cu 2.49-2.59, 3 Ga 2.54-2.66
Cu (0.3693, 0.3481, 0.9134)  3 Cu 2.49-2.59, 3 Ga 2.54-2.66
Cu (0.8306, 0.8115, 0.5273)  1 Ga 2.47, 4 Cu 2.49-2.59
Cu (0.1694, 0.1885, 0.4727)  1 Ga 2.47, 4 Cu 2.49-2.59
Cu (0.8306, 0.5273, 0.8115)  1 Ga 2.47, 4 Cu 2.49-2.59
Cu (0.1694, 0.4727, 0.1885)  1 Ga 2.47, 4 Cu 2.49-2.59